Material: CuSe2Cl
Method: DFT, PBE
State: optimized geometry

Values from the calculation:
The magnetic moment comes out at 0.000 μB/atom. The formation energy from raw total energies comes out at -0.19 eV per atom. The total energy comes out at -3.416 eV per atom. The value obtained for the energy above the lowest structure with this stoichiometry is 103 meV per atom.

a b c (Å): 3.7068 8.2759 5.9731
angles (deg): 90.00 107.14 90.00
Space group P2_1/m (No. 11)
Unique sites:
Cu: 0.0492 0.2500 0.1008
Se: 0.4111 0.5670 0.8159
Cl: 0.1571 0.7500 0.3356